1.
Computed, not measured: a relaxed structure of Pm2ScAs3 at the GGA-PBE level of DFT.

Cell: 9.2052 9.2052 9.2052 Å, 153.95 153.95 37.17°
Fractional positions:
Pm: 0.1658 0.1658 0.0000
Pm: 0.8342 0.8342 0.0000
Sc: 0.5000 0.5000 0.0000
As: 0.0000 0.0000 0.0000
As: 0.3396 0.3396 0.0000
As: 0.6604 0.6604 0.0000

Computed properties:
VASP energy = -6.38 eV/atom
ΔE_f = -1416 meV per atom

***

2.
Computed, not measured: a relaxed structure of PmScAs at the GGA-PBE level of DFT.

Cell: 11.0123 11.0123 3.6733 Å, 90.00 90.00 160.77°
Fractional positions:
Pm: 0.0690 0.9310 0.7500
Pm: 0.9310 0.0690 0.2500
Sc: 0.2082 0.7918 0.7500
Sc: 0.7918 0.2082 0.2500
As: 0.3404 0.6596 0.7500
As: 0.6596 0.3404 0.2500

Computed properties:
Energy above the most stable polymorph in this dataset = 79.4 kJ/mol of formula units
VASP energy = -6.00 eV/atom
ΔE_f = -754 meV per atom